1.
LiDy2Mg8 | PBE | optimized geometry

Computed properties:
Its density of states at the Fermi level is 7.0 states/eV per cell. The calculation puts the size of the total moment at 0.00 μB per formula unit. The final energy comes out at -2.20 eV per atom. The crystal system is monoclinic. The symmetry is C2/m (12). The value obtained for the energy relative to the elements is -0.033 eV/atom.

Geometry as POSCAR:
```
LiDy2Mg8
1.0
-2.695 -2.718 3.119
-3.686 -2.280 -5.172
7.330 -4.185 -1.221
Mg Dy Li
8 2 1
Cartesian
3.636 -4.001 -0.344
-2.687 -5.182 -2.929
1.203 -1.980 -0.686
2.820 -5.840 -2.651
-1.872 -3.343 -0.622
-0.255 -7.203 -2.588
3.327 -7.209 0.501
-2.378 -1.974 -3.775
0.723 -5.255 -0.046
0.226 -3.927 -3.227
-1.348 -1.359 1.560
```

---

2.
LiDyMgMn | PBE | optimized geometry

Computed properties:
Its density of states at the Fermi level is 5.3 states/eV per cell. The calculation puts the size of the total moment at 4.06 μB per formula unit. The final energy comes out at -4.15 eV per atom. The crystal system is cubic. The symmetry is F-43m (216). The value obtained for the energy relative to the elements is 0.165 eV/atom.

Geometry as POSCAR:
```
LiDyMgMn
1.0
4.913 0.000 0.000
2.456 4.255 0.000
2.456 1.418 4.011
Mn Mg Dy Li
1 1 1 1
Cartesian
4.913 2.836 2.006
7.369 4.255 3.008
2.456 1.418 1.003
0.000 0.000 0.000
```